## FeBI2O (PBE with a Hubbard U)

Data for crystalline FeBI2O at its relaxed geometry.

The energy above the most stable polymorph in this dataset comes out at 0 meV/atom. The total moment is 0.62 μB/atom.

It has space group P4/mmm (No. 123), with a = 5.826 Å, b = 5.826 Å, c = 3.014 Å, α = 90.00°, β = 90.00° and γ = 90.00°. The asymmetric unit holds Fe at (0.000, 0.000, 0.000), B at (0.500, 0.500, 0.500), I at (0.000, 0.500, 0.500) and O at (0.500, 0.500, 0.000).